4
Lattice="-1.7505 2.6407 6.0739 1.7505 -2.6407 6.0739 1.7505 2.6407 -6.0739" Properties=species:S:1:pos:R:3 comment="Y2SbBr (PBE-GGA, relaxed)" dos_ef_per_ev_atom=0.759 formation_energy_uncorrected_ev_per_atom=-0.777 polymorph_energy_mev_per_atom=264.7 crystal_system=orthorhombic volume_a3_per_cell=112.3 space_group="No. 44" pbc="T T T"
Y 0.0000 0.0000 0.0000
Y 0.0000 2.6407 2.8667
Sb 0.0000 0.0000 6.1028
Br 1.7505 0.0000 2.6060